Record 1
Material: Li3YU2Se6
Method: DFT, PBE
State: optimized geometry

Computed properties:
Space group: C2/m

a b c (Å): 7.018 7.018 6.970
angles (deg): 99.66 99.66 120.00
Last column: magnetic moment on the atom in μB.
Atoms (fractional coordinates):
U 0.333 0.667 0.000  2.64
U 0.667 0.333 0.000  2.64
Se 0.419 0.086 0.258  -0.04
Se 0.581 0.914 0.742  -0.04
Se 0.914 0.581 0.742  -0.04
Se 0.086 0.419 0.258  -0.04
Se 0.753 0.753 0.258  -0.04
Se 0.247 0.247 0.742  -0.04
Y 0.000 0.000 0.000  0.15
Li 0.835 0.165 0.500  0.00
Li 0.165 0.835 0.500  0.00
Li 0.500 0.500 0.500  0.00

Record 2
Material: LiYU2Se4
Method: DFT, PBE
State: optimized geometry

Computed properties:
Space group: P2/m

a b c (Å): 3.964 6.851 7.283
angles (deg): 108.37 90.00 90.00
Last column: magnetic moment on the atom in μB.
Atoms (fractional coordinates):
Se 0.500 0.745 0.760  0.03
Se 0.000 0.261 0.764  0.04
Se 0.500 0.255 0.240  0.03
Se 0.000 0.739 0.236  0.04
Y 0.000 0.000 0.000  -0.02
U 0.000 0.500 0.500  -2.67
U 0.500 0.000 0.500  -2.78
Li 0.500 0.500 0.000  0.00

Record 3
Material: Li3U3ZnSe8
Method: DFT, PBE
State: optimized geometry

Computed properties:
Space group: R-3m

a b c (Å): 7.982 7.981 8.011
angles (deg): 119.89 90.00 120.00
Last column: magnetic moment on the atom in μB.
Atoms (fractional coordinates):
Se 0.757 0.514 0.255  -0.06
Se 0.241 0.998 0.255  -0.06
Se 0.246 0.492 0.238  -0.06
Se 0.757 0.998 0.255  -0.06
Se 0.243 0.486 0.745  -0.06
Se 0.243 0.002 0.745  -0.06
Se 0.759 0.002 0.745  -0.06
Se 0.754 0.508 0.762  -0.06
Zn 0.000 0.000 0.500  0.00
Li 0.000 0.500 0.000  0.00
Li 0.500 0.500 0.000  0.00
Li 0.000 0.000 0.000  0.00
U 0.500 0.000 0.500  2.31
U 0.000 0.500 0.500  2.31
U 0.500 0.500 0.500  2.31

Record 4
Material: Li4Zr3USe8
Method: DFT, PBE
State: optimized geometry

Computed properties:
Space group: R-3m

a b c (Å): 7.631 7.990 7.631
angles (deg): 118.53 120.00 90.00
Last column: magnetic moment on the atom in μB.
Atoms (fractional coordinates):
Se 0.743 0.244 0.000  -0.02
Se 0.750 0.750 0.500  0.00
Se 0.257 0.244 0.000  -0.02
Se 0.250 0.250 0.500  0.00
Se 0.743 0.756 0.000  -0.02
Se 0.257 0.756 0.000  -0.02
Se 0.257 0.756 0.513  -0.02
Se 0.743 0.244 0.487  -0.02
Zr 0.000 0.500 0.500  0.04
Zr 0.500 0.500 0.500  0.04
Zr 0.500 0.500 0.000  0.04
U 0.000 0.500 0.000  2.26
Li 0.000 0.000 0.500  0.00
Li 0.000 0.000 0.000  0.00
Li 0.500 0.000 0.500  0.00
Li 0.500 0.000 0.000  -0.01

Values of mass density, in order: 6.28, 7.85, 6.58, 5.79, all in g/cm3.
Values of energy relative to the elements, uncorrected, in order: -1.341, -1.293, -1.068, -1.290, all in eV per atom.